Entry 1:
# LiSmMg2S4

Crystalline LiSmMg2S4 at its relaxed geometry (GGA-PBE, the Alexandria database).

Calculated values
For the uncorrected formation energy, the calculation gives -1.574 eV/atom. The size of the total moment comes out at 0.00 μB per cell.

a b c (Å): 3.810 12.580 12.687
angles (deg): 90.00 90.00 90.00
Space group Cmcm (No. 63)
Asymmetric unit:
1 Li 0.000 0.148 0.250 x4
2 Sm 0.000 0.121 0.750 x4
3 Mg 0.000 0.374 0.555 x8
4 S 0.000 0.000 0.000 x4
5 S 0.000 0.274 0.117 x8
6 S 0.000 0.456 0.750 x4

=====

Entry 2:
# LiMg2SnS4

Crystalline LiMg2SnS4 at its relaxed geometry (GGA-PBE, the Alexandria database).

Calculated values
The calculation puts the density of states at the Fermi level at 1.27 states/eV/f.u. For the uncorrected formation energy, the calculation gives -1.045 eV/atom. The size of the total moment comes out at 0.00 μB per cell.

a b c (Å): 6.497 3.774 6.521
angles (deg): 90.00 108.66 90.00
Space group P2/m (No. 10)
Asymmetric unit:
1 Li 0.000 0.000 0.000 x1
2 Mg 0.000 0.500 0.500 x1
3 Mg 0.500 0.000 0.500 x1
4 Sn 0.500 0.500 0.000 x1
5 S 0.241 0.000 0.739 x2
6 S 0.256 0.500 0.261 x2

=====

Entry 3:
# LiTbMg2S4

Crystalline LiTbMg2S4 at its relaxed geometry (GGA-PBE, the Alexandria database).

Calculated values
The calculation puts the density of states at the Fermi level at 0.00 states/eV/f.u. For the uncorrected formation energy, the calculation gives -1.614 eV/atom. The size of the total moment comes out at 0.00 μB per cell.

a b c (Å): 6.473 3.833 6.530
angles (deg): 90.00 108.49 90.00
Space group P2/m (No. 10)
Asymmetric unit:
1 Li 0.000 0.000 0.000 x1
2 Tb 0.500 0.500 0.000 x1
3 Mg 0.000 0.500 0.500 x1
4 Mg 0.500 0.000 0.500 x1
5 S 0.241 0.000 0.743 x2
6 S 0.254 0.500 0.267 x2

=====

What did the second record say?
# LiMg2SnS4

Crystalline LiMg2SnS4 at its relaxed geometry (GGA-PBE, the Alexandria database).

Calculated values
The calculation puts the density of states at the Fermi level at 1.27 states/eV/f.u. For the uncorrected formation energy, the calculation gives -1.045 eV/atom. The size of the total moment comes out at 0.00 μB per cell.

a b c (Å): 6.497 3.774 6.521
angles (deg): 90.00 108.66 90.00
Space group P2/m (No. 10)
Asymmetric unit:
1 Li 0.000 0.000 0.000 x1
2 Mg 0.000 0.500 0.500 x1
3 Mg 0.500 0.000 0.500 x1
4 Sn 0.500 0.500 0.000 x1
5 S 0.241 0.000 0.739 x2
6 S 0.256 0.500 0.261 x2

=====

Q: Which of these has the lowest uncorrected formation energy?
A: LiTbMg2S4

=====

Please write out number 1 again, unchanged.
# LiSmMg2S4

Crystalline LiSmMg2S4 at its relaxed geometry (GGA-PBE, the Alexandria database).

Calculated values
For the uncorrected formation energy, the calculation gives -1.574 eV/atom. The size of the total moment comes out at 0.00 μB per cell.

a b c (Å): 3.810 12.580 12.687
angles (deg): 90.00 90.00 90.00
Space group Cmcm (No. 63)
Asymmetric unit:
1 Li 0.000 0.148 0.250 x4
2 Sm 0.000 0.121 0.750 x4
3 Mg 0.000 0.374 0.555 x8
4 S 0.000 0.000 0.000 x4
5 S 0.000 0.274 0.117 x8
6 S 0.000 0.456 0.750 x4

=====

Q: Look up the size of the total moment of the third one.
A: 0.00 μB per cell